Entry from Alexandria: crystalline BiPdC2O6 at its relaxed geometry (PBE-GGA).

## Properties
The uncorrected energy is -6.736 eV per atom. As for the total magnetization: 1.0 μB/cell.

Lattice parameters (Å, degrees): 6.4788 6.4788 6.4788 46.60 46.60 46.60
Last column: nearest neighbours and their distance in Å.
Sites, in units of the cell vectors:
Bi1 0.0000 0.0000 0.0000  6 O 2.40
Pd1 0.5000 0.5000 0.5000  6 O 2.44
C1 0.2542 0.2542 0.2542  3 O 1.30
C2 0.7458 0.7458 0.7458  3 O 1.30
O1 0.0041 0.7371 0.4963  1 C 1.30
O2 0.2629 0.5037 0.9959  1 C 1.30
O3 0.4963 0.0041 0.7371  1 C 1.30
O4 0.5037 0.9959 0.2629  1 C 1.30
O5 0.7371 0.4963 0.0041  1 C 1.30
O6 0.9959 0.2629 0.5037  1 C 1.30

=====

Entry from Alexandria: crystalline BiCS2O at its relaxed geometry (PBE-GGA).

## Properties
The uncorrected energy is -3.555 eV per atom. As for the total magnetization: 0.0 μB/cell.

Lattice parameters (Å, degrees): 5.2288 5.2288 4.1111 90.00 90.00 90.00
Last column: nearest neighbours and their distance in Å.
Sites, in units of the cell vectors:
Bi1 0.0000 0.0000 0.0000  2 O 2.06
C1 0.5000 0.5000 0.5000  8 S 3.33, 4 O 3.70
S1 0.0000 0.5000 0.0000  2 Bi 2.61
S2 0.5000 0.0000 0.0000  2 Bi 2.61
O1 0.0000 0.0000 0.5000  2 Bi 2.06

=====

Entry from Alexandria: crystalline SrBiC2O6 at its relaxed geometry (PBE-GGA).

## Properties
The uncorrected energy is -7.074 eV per atom. As for the total magnetization: 0.2 μB/cell.

Lattice parameters (Å, degrees): 6.6679 6.6679 6.7324 98.43 98.43 94.36
Last column: nearest neighbours and their distance in Å.
Sites, in units of the cell vectors:
Sr1 0.1185 0.8815 0.7500  6 O 2.52-2.64
Sr2 0.8815 0.1185 0.2500  6 O 2.52-2.64
Bi1 0.4703 0.5297 0.2500  2 O 2.35
Bi2 0.5297 0.4703 0.7500  2 O 2.35
C1 0.0885 0.3508 0.6649  3 O 1.27-1.32
C2 0.3508 0.0885 0.1649  3 O 1.27-1.32
C3 0.6492 0.9115 0.8351  3 O 1.27-1.32
C4 0.9115 0.6492 0.3351  3 O 1.27-1.32
O1 0.1045 0.6732 0.3822  1 C 1.27
O2 0.1871 0.5186 0.7713  1 C 1.31
O3 0.2007 0.2070 0.6027  1 C 1.32
O4 0.2070 0.2007 0.1027  1 C 1.32
O5 0.3268 0.8955 0.1178  1 C 1.27
O6 0.4814 0.8129 0.7287  1 C 1.31
O7 0.5186 0.1871 0.2713  1 C 1.31
O8 0.6732 0.1045 0.8822  1 C 1.27
O9 0.7930 0.7993 0.8973  1 C 1.32
O10 0.7993 0.7930 0.3973  1 C 1.32
O11 0.8129 0.4814 0.2287  1 C 1.31
O12 0.8955 0.3268 0.6178  1 C 1.27